Entry 1:
{"formula": "Sb2TeRuBr", "functional": "PBE-GGA", "state": "relaxed", "magnetic_moment_mub_per_cell": 0.00, "total_energy_ev_per_atom": -4.13, "rho_g_cm3": 6.5, "e_above_lowest_polymorph_ev_per_fu": 0.00, "lattice": [[5.196, 0.000, 0.000], [0.000, 5.196, 0.000], [0.000, 0.000, 5.232]], "species": ["Sb", "Sb", "Te", "Br", "Ru"], "fractional_positions": [[0.000, 0.500, 0.000], [0.500, 0.000, 0.000], [0.000, 0.000, 0.500], [0.500, 0.500, 0.500], [0.000, 0.000, 0.000]]}

---

Entry 2:
{"formula": "BeGaNiW2", "functional": "PBE-GGA", "state": "relaxed", "magnetic_moment_mub_per_cell": 0.00, "ef_ev_per_atom": 0.693, "total_energy_ev_per_atom": -7.00, "rho_g_cm3": 11.9, "lattice": [[-0.584, 3.590, 2.247], [-3.634, 0.199, -1.262], [-1.292, -2.311, 3.357]], "species": ["Ni", "Ga", "W", "W", "Be"], "fractional_positions": [[0.000, 0.500, 0.000], [0.500, 0.500, 0.500], [0.000, 0.000, 0.500], [0.500, 0.000, 0.000], [0.000, 0.000, 0.000]]}

---

Entry 3:
{"formula": "DyY2Ge3Pt4", "functional": "PBE-GGA", "state": "relaxed", "magnetic_moment_mub_per_cell": 0.00, "ef_ev_per_atom": -0.945, "total_energy_ev_per_atom": -6.50, "rho_g_cm3": 11.0, "lattice": [[-0.852, 2.615, 3.186], [-0.911, -3.292, 2.459], [10.878, -0.518, 3.335]], "species": ["Dy", "Y", "Y", "Ge", "Ge", "Ge", "Pt", "Pt", "Pt", "Pt"], "fractional_positions": [[0.500, 0.500, 0.500], [0.500, 0.000, 0.220], [0.000, 0.500, 0.780], [0.000, 0.000, 0.500], [0.500, 0.000, 0.873], [0.000, 0.500, 0.127], [0.500, 0.500, 0.000], [0.000, 0.000, 0.000], [0.500, 0.000, 0.659], [0.000, 0.500, 0.341]]}

---

Entry 4:
{"formula": "PaNb2S6", "functional": "PBE-GGA", "state": "relaxed", "magnetic_moment_mub_per_cell": 0.00, "total_energy_ev_per_atom": -7.08, "rho_g_cm3": 4.9, "e_above_lowest_polymorph_ev_per_fu": 0.52, "lattice": [[4.542, 0.000, 0.000], [2.271, 6.259, -0.599], [2.271, 1.892, 7.076]], "species": ["Pa", "Nb", "Nb", "S", "S", "S", "S", "S", "S"], "fractional_positions": [[0.000, 0.500, 0.500], [0.141, 0.785, 0.933], [0.859, 0.215, 0.067], [0.728, 0.639, 0.904], [0.272, 0.361, 0.096], [0.946, 0.863, 0.244], [0.357, 0.683, 0.604], [0.054, 0.137, 0.756], [0.643, 0.317, 0.396]]}

---

Entry 5:
{"formula": "SrCdHg2", "functional": "PBE-GGA", "state": "relaxed", "magnetic_moment_mub_per_cell": 0.00, "ef_ev_per_atom": -0.280, "total_energy_ev_per_atom": -1.08, "rho_g_cm3": 8.8, "lattice": [[-1.635, 2.013, -3.082], [-0.129, -3.403, -2.155], [-6.419, -1.353, 2.521]], "species": ["Cd", "Hg", "Hg", "Sr"], "fractional_positions": [[0.500, 0.500, 0.791], [0.000, 0.000, 0.989], [0.500, 0.500, 0.228], [0.000, 0.000, 0.492]]}

---

Entry 6:
{"formula": "CrSbCl2", "functional": "PBE-GGA", "state": "relaxed", "magnetic_moment_mub_per_cell": 4.06, "total_energy_ev_per_atom": -4.08, "rho_g_cm3": 4.6, "e_above_lowest_polymorph_ev_per_fu": 2.71, "lattice": [[0.000, 3.527, 3.527], [3.527, 0.000, 3.527], [3.527, 3.527, 0.000]], "species": ["Sb", "Cl", "Cl", "Cr"], "fractional_positions": [[0.500, 0.500, 0.500], [0.250, 0.250, 0.250], [0.750, 0.750, 0.750], [0.000, 0.000, 0.000]]}